Entry 1:
Material: LiCa4Pa3As8
Method: DFT, PBE
State: relaxed

Cell: 8.315 8.315 8.315 Å, 60.61 60.61 60.61°
Fractional coordinates of all 16 atoms:
Li: 0.000 0.000 0.000
Ca: 0.000 0.000 0.500
Ca: 0.000 0.500 0.000
Ca: 0.500 0.000 0.000
Ca: 0.500 0.500 0.500
Pa: 0.000 0.500 0.500
Pa: 0.500 0.000 0.500
Pa: 0.500 0.500 0.000
As: 0.246 0.246 0.733
As: 0.246 0.733 0.246
As: 0.255 0.255 0.255
As: 0.267 0.754 0.754
As: 0.733 0.246 0.246
As: 0.745 0.745 0.745
As: 0.754 0.267 0.754
As: 0.754 0.754 0.267

Computed properties:
The energy relative to the elements comes out at -104 kJ/mol of atoms. The size of the total moment comes out at 0.00 μB/atom. The space group is R-3m.

Entry 2:
Material: LiCa2AsPb
Method: DFT, PBE
State: relaxed

Cell: 5.649 5.649 4.731 Å, 90.00 90.00 90.00°
Fractional coordinates of all 5 atoms:
Li: 0.000 0.000 0.000
Ca: 0.000 0.500 0.500
Ca: 0.500 0.000 0.500
As: 0.000 0.000 0.500
Pb: 0.500 0.500 0.000

Computed properties:
The energy relative to the elements comes out at -54 kJ/mol of atoms. The size of the total moment comes out at 0.00 μB/atom. The space group is P4/mmm.